1.
Computed, not measured: FeNi2SnH after structural relaxation at the PBE level of DFT.

The space group is P4/mmm (No. 123) and the conventional cell measures 3.782, 3.782 and 3.813 Å, with angles of 90.00, 90.00 and 90.00 degrees. The distinct sites, in fractional coordinates, are Fe at (0.000, 0.000, 0.000), Ni at (0.000, 0.500, 0.500), Sn at (0.500, 0.500, 0.000) and H at (0.000, 0.000, 0.500).

Its total magnetization is 1.595 μB per cell. For the calculated volume, the calculation gives 10.9 Å³ per atom. The electronic total energy comes out at -5.54 eV per atom. The density is 8.92 Mg/m³. As for the crystal system: tetragonal.


2.
Computed, not measured: CeMg6Hg4 after structural relaxation at the PBE level of DFT.

The space group is P-6m2 (No. 187) and the conventional cell measures 8.3348, 8.3348 and 4.2844 Å, with angles of 90.00, 90.00 and 120.00 degrees. The distinct sites, in fractional coordinates, are Ce at (0.0000, 0.0000, 0.0000), Mg at (0.2037, 0.4075, 0.5000), Mg at (0.5338, 0.0676, 0.0000), Hg at (0.3333, 0.6667, 0.0000) and Hg at (0.3710, 0.1855, 0.5000).

Its total magnetization is 1.286 μB per cell. The calculated formation energy comes out at -0.2360 eV per atom. For the calculated volume, the calculation gives 23.4 Å³ per atom. The density is 7.01 Mg/m³. As for the crystal system: hexagonal.


3.
Computed, not measured: TbEr4Rh4 after structural relaxation at the PBE level of DFT.

The space group is P4_2/n (No. 86, origin choice 2) and the conventional cell measures 8.758, 8.758 and 5.577 Å, with angles of 90.00, 90.00 and 90.00 degrees. The distinct sites, in fractional coordinates, are Tb at (0.250, 0.250, 0.250), Er at (0.071, 0.661, 0.158) and Rh at (0.029, 0.625, 0.656).

Its total magnetization is 0.000 μB per cell. The calculated formation energy comes out at -0.6849 eV per atom. For the calculated volume, the calculation gives 23.8 Å³ per atom. The density is 9.62 Mg/m³. As for the crystal system: tetragonal.